# NaPrPaS4

A relaxed structure of NaPrPaS4 (PBE-GGA, the Alexandria database).

Cell lengths 8.207, 8.341, 8.388 Å; angles 120.19, 90.00, 119.47 degrees
Positions (direct):
Na 0.877 0.753 0.127
Na 0.123 0.247 0.873
Pr 0.500 0.000 0.500
Pr 0.500 0.000 0.000
Pa 0.500 0.500 0.500
Pa 0.000 0.500 0.500
S 0.742 0.484 0.710
S 0.287 0.045 0.272
S 0.758 0.045 0.272
S 0.742 0.484 0.274
S 0.258 0.516 0.726
S 0.713 0.955 0.728
S 0.242 0.955 0.728
S 0.258 0.516 0.290

Computed properties:
E_form (uncorrected) (eV/atom): -1.68
Crystal system: orthorhombic

***

# ThZrTlAg

A relaxed structure of ThZrTlAg (PBE-GGA, the Alexandria database).

Cell lengths 5.226, 5.226, 5.226 Å; angles 60.00, 60.00, 60.00 degrees
Positions (direct):
Zr 0.500 0.500 0.500
Tl 0.750 0.750 0.750
Ag 0.250 0.250 0.250
Th 0.000 0.000 0.000

Computed properties:
Energy of formation from the pure elements (eV per atom): 0.026
Crystal system: cubic

***

| no. | total energy (eV per atom) | total magnetization (μB per formula unit) |
| --- | --- | --- |
| 1 | -6.267 | 1.03 |
| 2 | -5.271 | 0.00 |